# LiCuCO3

A geometry-optimized LiCuCO3 structure (PBE, Alexandria).

The structure belongs to space group P2_1/c (No. 14); the cell edges are 5.580, 6.685 and 9.123 Å and the angles 90.00°, 121.06° and 90.00°. The asymmetric unit holds Li at (0.130, 0.230, 0.195), Cu at (0.281, 0.024, 0.496), C at (0.252, 0.665, 0.700), O at (0.110, 0.567, 0.758), O at (0.114, 0.745, 0.056) and O at (0.477, 0.168, 0.711).

As for the formation energy without anion corrections: -7.8 eV per formula unit. The calculation puts the energy above the most stable polymorph in this dataset at 4.31 kJ/mol of atoms. The total magnetization comes out at 0.0 μB/cell.